1.
A relaxed structure of CaInCl2. Source: Alexandria via LeMat-Bulk, functional PBE-GGA. Values from VASP.

Summary:
SG = Fm-3m
crystal system = cubic
E above lowest polymorph = 447 meV/atom
formation energy from raw total energies = -1100.2 meV per atom
magnetization = 0.0 μB per formula unit
total DFT energy (no corrections) = -3.208 eV per atom

The structure in Quantum ESPRESSO input format:
```
&SYSTEM
  ibrav = 0, nat = 4, ntyp = 3
/
ATOMIC_SPECIES
Ca 40.08 Ca.upf
Cl 35.45 Cl.upf
In 114.82 In.upf
CELL_PARAMETERS angstrom
0.000 3.729 3.729
3.729 0.000 3.729
3.729 3.729 0.000
ATOMIC_POSITIONS crystal
Ca 0.000 0.000 0.000
Cl 0.750 0.750 0.750
Cl 0.250 0.250 0.250
In 0.500 0.500 0.500
```

---

2.
A relaxed structure of CaInCl2. Source: Alexandria via LeMat-Bulk, functional PBE-GGA. Values from VASP.

Summary:
SG = R-3m
crystal system = trigonal
E above lowest polymorph = 464 meV/atom
formation energy from raw total energies = -1083.2 meV per atom
magnetization = 0.0 μB per formula unit
total DFT energy (no corrections) = -3.192 eV per atom

The structure in Quantum ESPRESSO input format:
```
&SYSTEM
  ibrav = 0, nat = 4, ntyp = 3
/
ATOMIC_SPECIES
In 114.82 In.upf
Cl 35.45 Cl.upf
Ca 40.08 Ca.upf
CELL_PARAMETERS angstrom
2.580 0.000 8.984
-1.290 2.234 8.984
-1.290 -2.234 8.984
ATOMIC_POSITIONS crystal
In 0.500 0.500 0.500
Cl 0.097 0.097 0.097
Cl 0.903 0.903 0.903
Ca 0.000 0.000 0.000
```

---

3.
A relaxed structure of Ca3In5Cl12. Source: Alexandria via LeMat-Bulk, functional PBE-GGA. Values from VASP.

Summary:
SG = P-62m
crystal system = hexagonal
E above lowest polymorph = 0 meV/atom
formation energy from raw total energies = -1518.9 meV per atom
magnetization = 0.0 μB per formula unit
total DFT energy (no corrections) = -3.612 eV per atom

The structure in Quantum ESPRESSO input format:
```
&SYSTEM
  ibrav = 0, nat = 20, ntyp = 3
/
ATOMIC_SPECIES
Cl 35.45 Cl.upf
Ca 40.08 Ca.upf
In 114.82 In.upf
CELL_PARAMETERS angstrom
-4.035 0.898 -0.651
-3.362 -9.456 7.803
1.857 11.697 4.619
ATOMIC_POSITIONS crystal
Cl 0.000 0.532 0.000
Ca 0.500 0.000 0.672
Cl 0.000 0.000 0.532
Cl 0.500 0.801 0.252
Cl 0.000 0.815 0.000
Ca 0.500 0.672 0.000
In 0.000 0.292 0.000
In 0.000 0.333 0.667
Cl 0.000 0.468 0.468
In 0.000 0.000 0.292
Cl 0.500 0.252 0.801
Ca 0.500 0.328 0.328
Cl 0.500 0.199 0.451
In 0.000 0.708 0.708
Cl 0.500 0.549 0.748
Cl 0.000 0.000 0.815
Cl 0.000 0.185 0.185
Cl 0.500 0.748 0.549
In 0.000 0.667 0.333
Cl 0.500 0.451 0.199
```

---

4.
A relaxed structure of K2CaInCl5. Source: Alexandria via LeMat-Bulk, functional PBE-GGA. Values from VASP.

Summary:
SG = Immm
crystal system = orthorhombic
formation energy from raw total energies = -1802.5 meV per atom
magnetization = 0.0 μB per formula unit
total DFT energy (no corrections) = -3.599 eV per atom

The structure in Quantum ESPRESSO input format:
```
&SYSTEM
  ibrav = 0, nat = 9, ntyp = 4
/
ATOMIC_SPECIES
K 39.10 K.upf
Cl 35.45 Cl.upf
In 114.82 In.upf
Ca 40.08 Ca.upf
CELL_PARAMETERS angstrom
5.234 0.000 0.000
0.000 7.490 0.000
-2.617 -3.745 7.621
ATOMIC_POSITIONS crystal
K 0.208 0.208 0.415
Cl 0.370 0.619 0.740
Cl 0.630 0.381 0.260
Cl 0.000 0.000 0.000
In 0.000 0.500 0.000
Ca 0.500 0.000 0.000
Cl 0.630 0.879 0.260
Cl 0.370 0.121 0.740
K 0.792 0.792 0.585
```

---

5.
A relaxed structure of KCa2InCl. Source: Alexandria via LeMat-Bulk, functional PBE-GGA. Values from VASP.

Summary:
SG = P4/mmm
crystal system = tetragonal
formation energy from raw total energies = -315.5 meV per atom
magnetization = 0.0 μB per formula unit
total DFT energy (no corrections) = -2.253 eV per atom

The structure in Quantum ESPRESSO input format:
```
&SYSTEM
  ibrav = 0, nat = 5, ntyp = 4
/
ATOMIC_SPECIES
Ca 40.08 Ca.upf
Cl 35.45 Cl.upf
K 39.10 K.upf
In 114.82 In.upf
CELL_PARAMETERS angstrom
-5.854 0.865 -1.044
-1.094 -6.528 0.726
-0.929 0.810 5.881
ATOMIC_POSITIONS crystal
Ca 0.000 0.000 0.500
Cl 0.500 0.500 0.500
K 0.000 0.500 0.000
In 0.000 0.000 0.000
Ca 0.500 0.000 0.000
```

---

6.
A relaxed structure of KCaInCl6. Source: Alexandria via LeMat-Bulk, functional PBE-GGA. Values from VASP.

Summary:
SG = P-31c
crystal system = trigonal
formation energy from raw total energies = -1754.7 meV per atom
magnetization = 0.0 μB per formula unit
total DFT energy (no corrections) = -3.634 eV per atom

The structure in Quantum ESPRESSO input format:
```
&SYSTEM
  ibrav = 0, nat = 18, ntyp = 4
/
ATOMIC_SPECIES
K 39.10 K.upf
Cl 35.45 Cl.upf
In 114.82 In.upf
Ca 40.08 Ca.upf
CELL_PARAMETERS angstrom
6.969 0.000 0.000
-3.485 6.036 0.000
0.000 0.000 13.585
ATOMIC_POSITIONS crystal
K 0.000 0.000 0.000
Cl 0.620 0.979 0.859
In 0.333 0.667 0.750
Cl 0.021 0.380 0.641
Cl 0.642 0.021 0.359
Cl 0.380 0.021 0.141
Cl 0.979 0.620 0.359
Cl 0.642 0.620 0.141
Cl 0.021 0.642 0.859
Cl 0.620 0.642 0.641
Cl 0.979 0.358 0.141
Cl 0.358 0.380 0.859
Cl 0.380 0.358 0.359
K 0.000 0.000 0.500
Ca 0.333 0.667 0.250
In 0.667 0.333 0.250
Ca 0.667 0.333 0.750
Cl 0.358 0.979 0.641
```

---

7.
A relaxed structure of CaLaInCl6. Source: Alexandria via LeMat-Bulk, functional PBE-GGA. Values from VASP.

Summary:
SG = P-31c
crystal system = trigonal
formation energy from raw total energies = -2044.4 meV per atom
magnetization = 0.0 μB per formula unit
total DFT energy (no corrections) = -4.350 eV per atom

The structure in Quantum ESPRESSO input format:
```
&SYSTEM
  ibrav = 0, nat = 18, ntyp = 4
/
ATOMIC_SPECIES
Ca 40.08 Ca.upf
La 138.91 La.upf
Cl 35.45 Cl.upf
In 114.82 In.upf
CELL_PARAMETERS angstrom
7.325 0.000 0.000
-3.663 6.344 0.000
0.000 0.000 13.505
ATOMIC_POSITIONS crystal
Ca 0.333 0.667 0.250
La 0.333 0.667 0.750
Cl 0.004 0.635 0.363
Cl 0.370 0.365 0.863
Cl 0.365 0.370 0.363
Cl 0.635 0.630 0.637
Cl 0.365 0.996 0.137
In 0.000 0.000 0.000
Cl 0.004 0.370 0.137
In 0.000 0.000 0.500
Cl 0.370 0.004 0.637
Cl 0.630 0.635 0.137
La 0.667 0.333 0.250
Cl 0.630 0.996 0.363
Cl 0.996 0.630 0.863
Ca 0.667 0.333 0.750
Cl 0.635 0.004 0.863
Cl 0.996 0.365 0.637
```

---

8.
A relaxed structure of LiCaIn2Cl5. Source: Alexandria via LeMat-Bulk, functional PBE-GGA. Values from VASP.

Summary:
SG = Cmc2_1
crystal system = orthorhombic
formation energy from raw total energies = -1561.7 meV per atom
magnetization = 0.0 μB per formula unit
total DFT energy (no corrections) = -3.631 eV per atom

The structure in Quantum ESPRESSO input format:
```
&SYSTEM
  ibrav = 0, nat = 18, ntyp = 4
/
ATOMIC_SPECIES
In 114.82 In.upf
Cl 35.45 Cl.upf
Li 6.94 Li.upf
Ca 40.08 Ca.upf
CELL_PARAMETERS angstrom
4.134 0.000 0.000
-2.067 9.004 0.000
0.000 0.000 13.945
ATOMIC_POSITIONS crystal
In 0.130 0.261 0.326
Cl 0.951 0.902 0.524
In 0.870 0.739 0.826
Li 0.446 0.893 0.434
Cl 0.313 0.627 0.399
Cl 0.645 0.289 0.503
Cl 0.286 0.571 0.659
Li 0.554 0.107 0.934
In 0.908 0.816 0.165
Ca 0.205 0.409 0.029
Cl 0.355 0.711 0.003
In 0.092 0.184 0.665
Cl 0.714 0.429 0.159
Cl 0.049 0.098 0.024
Cl 0.494 0.989 0.784
Ca 0.795 0.591 0.529
Cl 0.687 0.373 0.899
Cl 0.506 0.011 0.284
```

---

9.
A relaxed structure of LiCa2InCl6. Source: Alexandria via LeMat-Bulk, functional PBE-GGA. Values from VASP.

Summary:
SG = R3
crystal system = trigonal
formation energy from raw total energies = -1929.7 meV per atom
magnetization = 0.0 μB per formula unit
total DFT energy (no corrections) = -3.903 eV per atom

The structure in Quantum ESPRESSO input format:
```
&SYSTEM
  ibrav = 0, nat = 10, ntyp = 4
/
ATOMIC_SPECIES
Ca 40.08 Ca.upf
Cl 35.45 Cl.upf
In 114.82 In.upf
Li 6.94 Li.upf
CELL_PARAMETERS angstrom
-0.926 -6.790 1.986
2.979 -5.262 -3.787
5.882 -3.672 3.007
ATOMIC_POSITIONS crystal
Ca 0.004 0.004 0.987
Ca 0.518 0.518 0.445
Cl 0.602 0.250 0.230
Cl 0.350 0.726 0.752
Cl 0.172 0.350 0.752
In 0.795 0.795 0.616
Cl 0.250 0.918 0.230
Cl 0.725 0.172 0.752
Li 0.327 0.327 0.020
Cl 0.918 0.602 0.230
```

---

10.
A relaxed structure of CaMgIn2Cl6. Source: Alexandria via LeMat-Bulk, functional PBE-GGA. Values from VASP.

Summary:
SG = P1
crystal system = triclinic
formation energy from raw total energies = -1585.3 meV per atom
magnetization = 0.0 μB per formula unit
total DFT energy (no corrections) = -3.601 eV per atom

The structure in Quantum ESPRESSO input format:
```
&SYSTEM
  ibrav = 0, nat = 10, ntyp = 4
/
ATOMIC_SPECIES
Cl 35.45 Cl.upf
Ca 40.08 Ca.upf
In 114.82 In.upf
Mg 24.30 Mg.upf
CELL_PARAMETERS angstrom
7.358 0.005 -0.002
3.684 6.376 0.003
3.679 2.131 5.956
ATOMIC_POSITIONS crystal
Cl 0.620 0.090 0.792
Ca 0.818 0.818 0.547
Cl 0.498 0.620 0.789
Cl 0.091 0.496 0.791
In 0.544 0.545 0.368
Cl 0.566 0.142 0.276
Mg 0.317 0.317 0.048
Cl 0.141 0.017 0.279
In 0.049 0.050 0.849
Cl 0.018 0.567 0.275
```

---

11.
A relaxed structure of CaIn2NCl. Source: Alexandria via LeMat-Bulk, functional PBE-GGA. Values from VASP.

Summary:
SG = P4/mmm
crystal system = tetragonal
formation energy from raw total energies = 815.8 meV per atom
magnetization = 0.0 μB per formula unit
total DFT energy (no corrections) = -2.714 eV per atom

The structure in Quantum ESPRESSO input format:
```
&SYSTEM
  ibrav = 0, nat = 5, ntyp = 4
/
ATOMIC_SPECIES
Cl 35.45 Cl.upf
In 114.82 In.upf
N 14.01 N.upf
Ca 40.08 Ca.upf
CELL_PARAMETERS angstrom
-4.850 1.919 -1.815
-1.618 -4.857 -0.811
-2.001 -0.192 5.144
ATOMIC_POSITIONS crystal
Cl 0.000 0.000 0.000
In 0.500 0.000 0.000
N 0.500 0.500 0.500
In 0.000 0.000 0.500
Ca 0.000 0.500 0.000
```

---

12.
A relaxed structure of NaCaIn2Cl5. Source: Alexandria via LeMat-Bulk, functional PBE-GGA. Values from VASP.

Summary:
SG = Cmc2_1
crystal system = orthorhombic
formation energy from raw total energies = -1542.7 meV per atom
magnetization = 0.0 μB per formula unit
total DFT energy (no corrections) = -3.546 eV per atom

The structure in Quantum ESPRESSO input format:
```
&SYSTEM
  ibrav = 0, nat = 18, ntyp = 4
/
ATOMIC_SPECIES
In 114.82 In.upf
Na 22.99 Na.upf
Ca 40.08 Ca.upf
Cl 35.45 Cl.upf
CELL_PARAMETERS angstrom
4.189 0.000 0.000
-2.095 8.876 0.000
0.000 0.000 14.610
ATOMIC_POSITIONS crystal
In 0.083 0.166 0.662
Na 0.466 0.932 0.449
Ca 0.780 0.560 0.527
Cl 0.934 0.868 0.557
In 0.862 0.724 0.801
Cl 0.066 0.132 0.057
In 0.917 0.834 0.162
Cl 0.732 0.464 0.153
Cl 0.488 0.977 0.775
Cl 0.627 0.254 0.495
Cl 0.268 0.536 0.653
Cl 0.306 0.612 0.406
Cl 0.694 0.388 0.906
Na 0.534 0.068 0.949
In 0.138 0.276 0.301
Cl 0.373 0.746 0.995
Cl 0.512 0.023 0.275
Ca 0.220 0.440 0.027
```